A geometry-optimized La4GeTe2Se structure. Source: Alexandria, functional PBE-GGA.

## Properties
- ρ: 6.3 g/cm³
- Size of the total moment: 0.00 μB per formula unit
- VASP energy: -5.837 eV per atom

a b c (Å): 4.4620 7.8823 7.6940
angles (deg): 70.84 90.00 90.00
Positions (direct):
La 0.5000 0.2742 0.7375
La 0.0000 0.2736 0.2475
La 0.0000 0.7264 0.7525
La 0.5000 0.7258 0.2625
Te 0.0000 0.0000 0.0000
Te 0.5000 0.0000 0.5000
Se 0.5000 0.5000 0.0000
Ge 0.0000 0.5000 0.5000

---

A geometry-optimized La6GeTe2Se3 structure. Source: Alexandria, functional PBE-GGA.

## Properties
- ρ: 6.3 g/cm³
- Size of the total moment: 0.00 μB per formula unit
- VASP energy: -5.944 eV per atom

a b c (Å): 4.4176 8.8873 9.8977
angles (deg): 102.47 102.89 90.00
Positions (direct):
La 0.0037 0.7610 0.0074
La 0.3409 0.4033 0.6818
La 0.6618 0.0679 0.3236
La 0.6591 0.5967 0.3182
La 0.9963 0.2390 0.9926
La 0.3382 0.9321 0.6764
Te 0.1684 0.3368 0.3369
Te 0.8316 0.6632 0.6631
Se 0.1691 0.8350 0.3382
Se 0.5000 0.5000 0.0000
Se 0.8309 0.1650 0.6618
Ge 0.5000 0.0000 0.0000

---

A geometry-optimized La6Ge2Te3Se structure. Source: Alexandria, functional PBE-GGA.

## Properties
- ρ: 6.2 g/cm³
- Size of the total moment: 0.00 μB per formula unit
- VASP energy: -5.792 eV per atom

a b c (Å): 4.4737 9.0548 10.1086
angles (deg): 104.09 102.78 90.00
Positions (direct):
Ge 0.1653 0.3297 0.3307
Ge 0.8347 0.6703 0.6693
La 0.6639 0.0999 0.3278
La 0.0074 0.2424 0.0149
La 0.9926 0.7576 0.9851
La 0.6722 0.5689 0.3444
La 0.3278 0.4311 0.6556
La 0.3361 0.9001 0.6722
Te 0.5000 0.5000 0.0000
Te 0.8350 0.1668 0.6701
Te 0.1650 0.8332 0.3299
Se 0.5000 0.0000 0.0000